1.
Here is an optimized crystal structure of Rb2NiSbCl6 from Alexandria via LeMat-Bulk. Energies are from GGA-PBE.

Computed properties:
The calculation puts the uncorrected formation energy at -1162.5 meV per atom. As for the space group: Fm-3m. For the volume, the calculation gives 274 Å³/cell.

a = 7.2911 Å, b = 7.2908 Å, c = 7.2902 Å
α = 59.99°, β = 59.99°, γ = 90.00°
Atoms (fractional coordinates):
Cl 0.2384 0.2386 0.0001
Cl 0.2382 0.2382 0.5236
Cl 0.7618 0.7618 0.4764
Cl 0.2387 0.7615 0.0000
Cl 0.7613 0.2385 0.0000
Cl 0.7616 0.7614 0.9999
Rb 0.2499 0.7499 0.5002
Rb 0.7501 0.2501 0.4998
Ni 0.0000 0.0000 0.0000
Sb 0.5000 0.5000 0.0000

---

2.
Here is an optimized crystal structure of MgTl2Pd from Alexandria via LeMat-Bulk. Energies are from GGA-PBE.

Computed properties:
As for the space group: I-42d. For the volume, the calculation gives 216 Å³/cell. Its energy of formation is -0.03 eV/atom.

a = 8.9717 Å, b = 8.9717 Å, c = 6.8890 Å
α = 49.37°, β = 49.37°, γ = 90.00°
Atoms (fractional coordinates):
Tl 0.3750 0.2850 0.7500
Tl 0.7150 0.1250 0.2500
Tl 0.0350 0.6250 0.2500
Tl 0.8750 0.9650 0.7500
Pd 0.0000 0.0000 0.0000
Pd 0.7500 0.2500 0.5000
Mg 0.5000 0.5000 0.0000
Mg 0.2500 0.7500 0.5000

---

3.
Here is an optimized crystal structure of Tb4Ce3Co2 from Alexandria via LeMat-Bulk. Energies are from GGA-PBE.

Computed properties:
As for the space group: C2/m. For the volume, the calculation gives 233 Å³/cell. Its energy of formation is -0.10 eV/atom.

a = 3.6071 Å, b = 8.7658 Å, c = 8.4987 Å
α = 116.77°, β = 102.25°, γ = 90.00°
Atoms (fractional coordinates):
Co 0.4179 0.5987 0.8358
Co 0.5821 0.4013 0.1642
Tb 0.7727 0.3574 0.5455
Tb 0.2273 0.6426 0.4545
Tb 0.3692 0.1156 0.7384
Tb 0.6308 0.8844 0.2616
Ce 0.0723 0.1826 0.1446
Ce 0.0000 0.5000 0.0000
Ce 0.9277 0.8174 0.8554

---

4.
Here is an optimized crystal structure of Tl2MoBr7 from Alexandria via LeMat-Bulk. Energies are from GGA-PBE.

Computed properties:
The calculation puts the uncorrected formation energy at -529.9 meV per atom. As for the space group: C2/c. For the volume, the calculation gives 712 Å³/cell.

a = 8.0826 Å, b = 10.8071 Å, c = 9.7119 Å
α = 85.99°, β = 65.41°, γ = 68.04°
Atoms (fractional coordinates):
Br 0.0133 0.6979 0.5196
Br 0.8481 0.0010 0.3344
Br 0.1519 0.9990 0.6656
Br 0.8305 0.7680 0.0730
Br 0.1834 0.4990 0.1656
Br 0.3285 0.2680 0.5730
Br 0.1695 0.2320 0.9270
Br 0.6541 0.2500 0.7500
Br 0.6715 0.7320 0.4270
Br 0.9867 0.3021 0.4804
Br 0.3459 0.7500 0.2500
Br 0.7692 0.1979 0.0196
Br 0.8166 0.5010 0.8344
Br 0.2308 0.8021 0.9804
Mo 0.0184 0.7500 0.2500
Mo 0.9816 0.2500 0.7500
Tl 0.5883 0.9704 0.6868
Tl 0.4117 0.0296 0.3132
Tl 0.2455 0.5296 0.8132
Tl 0.7545 0.4704 0.1868

---

5.
Here is an optimized crystal structure of FeTcW3 from Alexandria via LeMat-Bulk. Energies are from GGA-PBE.

Computed properties:
As for the space group: Pm-3m. For the volume, the calculation gives 86 Å³/cell. As for the energy above the lowest structure with this stoichiometry: 0 meV/atom. Its energy of formation is 1.41 eV/atom.

a = 4.4124 Å, b = 4.4124 Å, c = 4.4124 Å
α = 90.00°, β = 90.00°, γ = 90.00°
Atoms (fractional coordinates):
W 0.0000 0.0000 0.5000
W 0.5000 0.0000 0.0000
W 0.0000 0.5000 0.0000
Tc 0.5000 0.5000 0.5000
Fe 0.0000 0.0000 0.0000

---

6.
Here is an optimized crystal structure of DyPuTcNi from Alexandria via LeMat-Bulk. Energies are from GGA-PBE.

Computed properties:
As for the space group: F-43m. For the volume, the calculation gives 77 Å³/cell. Its energy of formation is -0.04 eV/atom.

a = 4.7738 Å, b = 4.7738 Å, c = 4.7738 Å
α = 60.00°, β = 60.00°, γ = 60.00°
Atoms (fractional coordinates):
Pu 0.5000 0.5000 0.5000
Ni 0.2500 0.2500 0.2500
Dy 0.0000 0.0000 0.0000
Tc 0.7500 0.7500 0.7500

---

7.
Here is an optimized crystal structure of Sr2Tl6CdIn from Alexandria via LeMat-Bulk. Energies are from GGA-PBE.

Computed properties:
As for the space group: R-3m. For the volume, the calculation gives 690 Å³/cell. Its energy of formation is -0.05 eV/atom.

a = 7.8477 Å, b = 7.8477 Å, c = 13.7069 Å
α = 73.37°, β = 73.37°, γ = 60.00°
Atoms (fractional coordinates):
In 0.5738 0.5738 0.2786
In 0.4262 0.4262 0.7214
Sr 0.1080 0.1080 0.6761
Sr 0.8920 0.8920 0.3239
Sr 0.7157 0.7157 0.8528
Sr 0.2843 0.2843 0.1472
Cd 0.5000 0.5000 0.5000
Cd 0.0000 0.0000 0.0000
Tl 0.7762 0.3461 0.1016
Tl 0.2238 0.2238 0.8984
Tl 0.7762 0.7762 0.1016
Tl 0.6640 0.6640 0.6023
Tl 0.0696 0.6640 0.6023
Tl 0.3360 0.9304 0.3977
Tl 0.3360 0.3360 0.3977
Tl 0.2238 0.6539 0.8984
Tl 0.9304 0.3360 0.3977
Tl 0.6640 0.0696 0.6023
Tl 0.3461 0.7762 0.1016
Tl 0.6539 0.2238 0.8984

---

8.
Here is an optimized crystal structure of CrCd2P from Alexandria via LeMat-Bulk. Energies are from GGA-PBE.

Computed properties:
As for the space group: F-43m. For the volume, the calculation gives 77 Å³/cell. Its energy of formation is 0.42 eV/atom.

a = 4.7762 Å, b = 4.7762 Å, c = 4.7762 Å
α = 60.00°, β = 60.00°, γ = 60.00°
Atoms (fractional coordinates):
P 0.7500 0.7500 0.7500
Cd 0.0000 0.0000 0.0000
Cd 0.2500 0.2500 0.2500
Cr 0.5000 0.5000 0.5000

---

9.
Here is an optimized crystal structure of Li2PrMg2 from Alexandria via LeMat-Bulk. Energies are from GGA-PBE.

Computed properties:
As for the space group: C2/m. For the volume, the calculation gives 125 Å³/cell. As for the energy above the lowest structure with this stoichiometry: 21 meV/atom. Its energy of formation is -0.02 eV/atom.

a = 3.2955 Å, b = 5.1923 Å, c = 7.9099 Å
α = 108.94°, β = 102.02°, γ = 90.00°
Atoms (fractional coordinates):
Li 0.7170 0.2161 0.4340
Li 0.2830 0.7839 0.5660
Pr 0.0000 0.0000 0.0000
Mg 0.3919 0.3933 0.7838
Mg 0.6081 0.6067 0.2162

---

10.
Here is an optimized crystal structure of SiRuSeN2 from Alexandria via LeMat-Bulk. Energies are from GGA-PBE.

Computed properties:
The calculation puts the uncorrected formation energy at 897.4 meV per atom. As for the space group: P4/mmm. For the volume, the calculation gives 78 Å³/cell. As for the energy above the lowest structure with this stoichiometry: 87 meV/atom.

a = 3.8108 Å, b = 3.8108 Å, c = 5.3408 Å
α = 90.00°, β = 90.00°, γ = 90.00°
Atoms (fractional coordinates):
Se 0.0000 0.0000 0.5000
Si 0.5000 0.5000 0.5000
N 0.0000 0.5000 0.0000
N 0.5000 0.0000 0.0000
Ru 0.0000 0.0000 0.0000

---

11.
Here is an optimized crystal structure of LiTb2Pb from Alexandria via LeMat-Bulk. Energies are from GGA-PBE.

Computed properties:
As for the space group: P4/mmm. For the volume, the calculation gives 108 Å³/cell. Its energy of formation is -0.19 eV/atom.

a = 3.8303 Å, b = 3.8303 Å, c = 7.3458 Å
α = 90.00°, β = 90.00°, γ = 90.00°
Atoms (fractional coordinates):
Tb 0.0000 0.0000 0.2397
Tb 0.0000 0.0000 0.7603
Pb 0.5000 0.5000 0.5000
Li 0.5000 0.5000 0.0000

---

12.
Here is an optimized crystal structure of Th7C5 from Alexandria via LeMat-Bulk. Energies are from GGA-PBE.

Computed properties:
As for the space group: C2/m. For the volume, the calculation gives 252 Å³/cell. Its energy of formation is -0.14 eV/atom.

a = 3.6597 Å, b = 6.4191 Å, c = 11.7953 Å
α = 71.92°, β = 81.08°, γ = 73.44°
Atoms (fractional coordinates):
C 0.8675 0.8318 0.4332
C 0.3211 0.5031 0.8546
C 0.6789 0.4969 0.1454
C 0.0000 0.0000 0.0000
C 0.1325 0.1682 0.5668
Th 0.6561 0.7507 0.9370
Th 0.5000 0.5000 0.5000
Th 0.3439 0.2493 0.0630
Th 0.7404 0.8809 0.6384
Th 0.0307 0.7237 0.2149
Th 0.2596 0.1191 0.3616
Th 0.9693 0.2763 0.7851

---

For each record above, in turn, the calculated DOS(E_F) values are 3.5; 2.5; 15.7; 16.8; 5.8; 7.5; 9.3; 2.4; 4.0; 3.3; 4.5; 8.6 states/eV per cell.
For each record above, in turn, the calculated magnetic moment values are 1.01; 0.00; 0.00; 2.59; 0.00; 4.00; 0.00; 4.35; 0.00; 0.00; 0.45; 0.00 μB/cell.
For each record above, in turn, the calculated ρ values are 3419; 8288; 8365; 4965; 13635; 12157; 7840; 6634; 2705; 5055; 8197; 11107 kg/m³.